Density functional theory data (PBE) for an optimized crystal structure of InIrRu3.

Structure (extended XYZ):
```
5
Lattice="4.716 0.000 0.000 0.000 4.716 0.000 0.000 0.000 4.716" Properties=species:S:1:pos:R:3 pbc="T T T"
In 0.000 0.000 0.000
Ir 2.358 2.358 2.358
Ru 0.000 2.358 2.358
Ru 2.358 0.000 2.358
Ru 2.358 2.358 0.000
```

## Properties
total magnetic moment	0.137	μB per atom
energy relative to the elements	1.4778	eV/atom
energy relative to the lowest polymorph listed for this composition	0	meV/atom
space group	Pm-3m
total DFT energy (no corrections)	-6.408	eV/atom

***

Density functional theory data (PBE) for an optimized crystal structure of NaTiSn2Au.

Structure (extended XYZ):
```
5
Lattice="5.171 0.000 0.000 0.000 5.171 0.000 0.000 0.000 4.785" Properties=species:S:1:pos:R:3 pbc="T T T"
Na 0.000 0.000 0.000
Ti 0.000 0.000 2.392
Sn 0.000 2.586 0.000
Sn 2.586 0.000 0.000
Au 2.586 2.586 2.392
```

## Properties
total magnetic moment	0.000	μB per atom
energy relative to the elements	1.1129	eV/atom
space group	P4/mmm
total DFT energy (no corrections)	-2.986	eV/atom

***

Density functional theory data (PBE) for an optimized crystal structure of RbSi2Hg2.

Structure (extended XYZ):
```
10
Lattice="8.841 0.000 0.000 0.000 8.841 0.000 0.000 0.000 3.122" Properties=species:S:1:pos:R:3 pbc="T T T"
Rb 0.000 0.000 0.000
Rb 4.420 4.420 0.000
Si 1.296 3.124 1.561
Si 3.124 7.545 1.561
Si 5.717 1.296 1.561
Si 7.545 5.717 1.561
Hg 1.243 5.664 0.000
Hg 3.177 1.243 0.000
Hg 5.664 7.598 0.000
Hg 7.598 3.177 0.000
```

## Properties
total magnetic moment	0.000	μB per atom
energy relative to the lowest polymorph listed for this composition	298	meV/atom
ΔE_f (raw)	0.42	eV/atom
space group	P4/mbm
total DFT energy (no corrections)	-2.059	eV/atom

***

Density functional theory data (PBE) for an optimized crystal structure of CaGeOF2.

Structure (extended XYZ):
```
5
Lattice="4.300 0.000 0.000 0.000 4.300 0.000 0.000 0.000 4.273" Properties=species:S:1:pos:R:3 pbc="T T T"
Ca 0.000 0.000 0.000
Ge 2.150 2.150 2.136
O 2.150 2.150 0.000
F 0.000 2.150 2.136
F 2.150 0.000 2.136
```

## Properties
total magnetic moment	0.000	μB per atom
energy relative to the lowest polymorph listed for this composition	0	meV/atom
ΔE_f (raw)	-2.01	eV/atom
space group	P4/mmm
total DFT energy (no corrections)	-5.070	eV/atom

***

Density functional theory data (PBE) for an optimized crystal structure of Tl2BiTeRh.

Structure (extended XYZ):
```
5
Lattice="5.307 0.000 0.000 0.000 5.307 0.000 0.000 0.000 5.302" Properties=species:S:1:pos:R:3 pbc="T T T"
Tl 0.000 2.654 0.000
Tl 2.654 0.000 0.000
Bi 0.000 0.000 2.651
Te 2.654 2.654 2.651
Rh 0.000 0.000 0.000
```

## Properties
total magnetic moment	0.000	μB per atom
ΔE_f (raw)	-0.06	eV/atom
space group	P4/mmm
total DFT energy (no corrections)	-3.883	eV/atom

***

Density functional theory data (PBE) for an optimized crystal structure of V2InAg.

Structure (extended XYZ):
```
16
Lattice="7.382 0.000 0.000 0.000 7.382 0.000 0.000 0.000 5.299" Properties=species:S:1:pos:R:3 pbc="T T T"
V 1.789 5.537 0.662
V 1.846 1.789 4.637
V 1.846 1.902 1.987
V 1.902 5.537 3.312
V 5.480 1.846 3.312
V 5.537 5.480 1.987
V 5.537 5.593 4.637
V 5.593 1.846 0.662
In 0.000 0.000 2.650
In 0.000 3.691 3.974
In 3.691 0.000 1.325
In 3.691 3.691 0.000
Ag 0.000 0.000 0.000
Ag 0.000 3.691 1.325
Ag 3.691 0.000 3.974
Ag 3.691 3.691 2.650
```

## Properties
total magnetic moment	0.000	μB per atom
energy relative to the elements	0.7762	eV/atom
space group	I-42d
total DFT energy (no corrections)	-5.180	eV/atom

***

Density functional theory data (PBE) for an optimized crystal structure of Cr3RhC.

Structure (extended XYZ):
```
5
Lattice="3.840 0.000 0.000 0.000 3.840 0.000 0.000 0.000 3.840" Properties=species:S:1:pos:R:3 pbc="T T T"
Cr 0.000 0.000 1.920
Cr 0.000 1.920 0.000
Cr 1.920 0.000 0.000
Rh 1.920 1.920 1.920
C 0.000 0.000 0.000
```

## Properties
total magnetic moment	0.000	μB per atom
energy relative to the elements	0.0064	eV/atom
energy relative to the lowest polymorph listed for this composition	0	meV/atom
space group	Pm-3m
total DFT energy (no corrections)	-9.083	eV/atom

***

Density functional theory data (PBE) for an optimized crystal structure of K2Cd2Cl5.

Structure (extended XYZ):
```
9
Lattice="7.290 -2.725 0.000 7.290 2.725 0.000 -3.653 0.000 6.988" Properties=species:S:1:pos:R:3 pbc="T T T"
K 0.552 0.000 2.074
K 10.376 0.000 4.914
Cd 4.788 0.000 1.038
Cd 6.140 0.000 5.950
Cl -1.195 0.000 6.292
Cl 3.461 0.000 3.259
Cl 7.290 0.000 0.000
Cl 7.467 0.000 3.729
Cl 12.123 0.000 0.696
```

## Properties
total magnetic moment	0.000	μB per atom
ΔE_f (raw)	-1.32	eV/atom
space group	C2/m
total DFT energy (no corrections)	-2.788	eV/atom

***

Question: What is the total magnetic moment in the second record?
Answer: 0.000 μB per atom

***

Question: Which of these has the highest total magnetic moment?
Answer: InIrRu3

***

What did the fifth record say?
Density functional theory data (PBE) for an optimized crystal structure of Tl2BiTeRh.

Structure (extended XYZ):
```
5
Lattice="5.307 0.000 0.000 0.000 5.307 0.000 0.000 0.000 5.302" Properties=species:S:1:pos:R:3 pbc="T T T"
Tl 0.000 2.654 0.000
Tl 2.654 0.000 0.000
Bi 0.000 0.000 2.651
Te 2.654 2.654 2.651
Rh 0.000 0.000 0.000
```

## Properties
total magnetic moment	0.000	μB per atom
ΔE_f (raw)	-0.06	eV/atom
space group	P4/mmm
total DFT energy (no corrections)	-3.883	eV/atom

***

Question: Among the records above, which one has the highest total DFT energy (no corrections)?
Answer: RbSi2Hg2